Tl5In2S5: relaxed, PBE. Values from VASP.

The structure in Quantum ESPRESSO input format:
```
&SYSTEM
  ibrav = 0, nat = 12, ntyp = 3
/
ATOMIC_SPECIES
Tl 204.38 Tl.upf
In 114.82 In.upf
S 32.06 S.upf
CELL_PARAMETERS angstrom
7.0399 -2.2697 0.0000
7.0399 2.2697 0.0000
-3.2737 0.0000 11.3093
ATOMIC_POSITIONS crystal
Tl 0.0000 0.0000 0.0000
Tl 0.1519 0.1519 0.5584
Tl 0.2497 0.2497 0.8573
Tl 0.7503 0.7503 0.1427
Tl 0.8481 0.8481 0.4416
In 0.4632 0.4632 0.7098
In 0.5368 0.5368 0.2902
S 0.1276 0.1276 0.3012
S 0.3857 0.3857 0.1187
S 0.5000 0.5000 0.5000
S 0.6143 0.6143 0.8813
S 0.8724 0.8724 0.6988
```

Results
Formation energy from raw total energies   -0.375 eV/atom
M_tot   0.000 μB per atom
SG   No. 12

=====

TcTe2: relaxed, PBE. Values from VASP.

The structure in Quantum ESPRESSO input format:
```
&SYSTEM
  ibrav = 0, nat = 6, ntyp = 2
/
ATOMIC_SPECIES
Tc 98.00 Tc.upf
Te 127.60 Te.upf
CELL_PARAMETERS angstrom
4.8688 0.0000 0.0000
-2.4344 4.2165 0.0000
0.0000 0.0000 6.2604
ATOMIC_POSITIONS crystal
Tc 0.3333 0.6667 0.2500
Tc 0.6667 0.3333 0.7500
Te 0.0000 0.0000 0.0000
Te 0.0000 0.0000 0.5000
Te 0.3333 0.6667 0.7500
Te 0.6667 0.3333 0.2500
```

Results
Formation energy from raw total energies   0.679 eV/atom
M_tot   0.000 μB per atom
SG   No. 194

=====

LuAlGaCu: relaxed, PBE. Values from VASP.

The structure in Quantum ESPRESSO input format:
```
&SYSTEM
  ibrav = 0, nat = 4, ntyp = 4
/
ATOMIC_SPECIES
Lu 174.97 Lu.upf
Al 26.98 Al.upf
Ga 69.72 Ga.upf
Cu 63.55 Cu.upf
CELL_PARAMETERS angstrom
0.0000 3.2733 3.2733
3.2733 0.0000 3.2733
3.2733 3.2733 0.0000
ATOMIC_POSITIONS crystal
Lu 0.0000 0.0000 0.0000
Al 0.5000 0.5000 0.5000
Ga 0.2500 0.2500 0.2500
Cu 0.7500 0.7500 0.7500
```

Results
M_tot   0.000 μB per atom
Energy relative to the elements   -0.33 eV per atom
SG   No. 216

=====

Ac2TlCl: relaxed, PBE. Values from VASP.

The structure in Quantum ESPRESSO input format:
```
&SYSTEM
  ibrav = 0, nat = 4, ntyp = 3
/
ATOMIC_SPECIES
Ac 227.00 Ac.upf
Tl 204.38 Tl.upf
Cl 35.45 Cl.upf
CELL_PARAMETERS angstrom
2.4436 1.4108 6.7644
-2.4436 1.4108 6.7644
0.0000 -2.8217 6.7644
ATOMIC_POSITIONS crystal
Ac 0.2474 0.2474 0.2474
Ac 0.7526 0.7526 0.7526
Tl 0.0000 0.0000 0.0000
Cl 0.5000 0.5000 0.5000
```

Results
Formation energy from raw total energies   -0.872 eV/atom
M_tot   0.000 μB per atom
SG   No. 166

=====

Pm3SiIr3: relaxed, PBE. Values from VASP.

The structure in Quantum ESPRESSO input format:
```
&SYSTEM
  ibrav = 0, nat = 14, ntyp = 3
/
ATOMIC_SPECIES
Pm 145.00 Pm.upf
Si 28.09 Si.upf
Ir 192.22 Ir.upf
CELL_PARAMETERS angstrom
5.2929 -2.0485 0.0000
5.2929 2.0485 0.0000
-4.8462 0.0000 14.0396
ATOMIC_POSITIONS crystal
Pm 0.0144 0.0144 0.3808
Pm 0.1092 0.1092 0.9263
Pm 0.2432 0.2432 0.2228
Pm 0.7568 0.7568 0.7772
Pm 0.8908 0.8908 0.0737
Pm 0.9856 0.9856 0.6192
Si 0.2719 0.2719 0.6102
Si 0.7281 0.7281 0.3898
Ir 0.3290 0.3290 0.4611
Ir 0.3840 0.3840 0.9226
Ir 0.4566 0.4566 0.7606
Ir 0.5434 0.5434 0.2394
Ir 0.6160 0.6160 0.0774
Ir 0.6710 0.6710 0.5389
```

Results
Formation energy from raw total energies   -0.793 eV/atom
M_tot   0.000 μB per atom
SG   No. 12

=====

HfInFe3: relaxed, PBE. Values from VASP.

The structure in Quantum ESPRESSO input format:
```
&SYSTEM
  ibrav = 0, nat = 5, ntyp = 3
/
ATOMIC_SPECIES
Hf 178.49 Hf.upf
In 114.82 In.upf
Fe 55.84 Fe.upf
CELL_PARAMETERS angstrom
4.6652 0.0000 0.0000
0.0000 4.6652 0.0000
0.0000 0.0000 4.6652
ATOMIC_POSITIONS crystal
Hf 0.0000 0.0000 0.0000
In 0.5000 0.5000 0.5000
Fe 0.0000 0.5000 0.5000
Fe 0.5000 0.0000 0.5000
Fe 0.5000 0.5000 0.0000
```

Results
M_tot   1.388 μB per atom
Energy relative to the elements   1.36 eV per atom
SG   No. 221

=====

Sc3BiC: relaxed, PBE. Values from VASP.

The structure in Quantum ESPRESSO input format:
```
&SYSTEM
  ibrav = 0, nat = 10, ntyp = 3
/
ATOMIC_SPECIES
Sc 44.96 Sc.upf
Bi 208.98 Bi.upf
C 12.01 C.upf
CELL_PARAMETERS angstrom
4.8823 0.0000 0.0000
-2.4411 4.2282 0.0000
0.0000 0.0000 9.3069
ATOMIC_POSITIONS crystal
Sc 0.0000 0.0000 0.2500
Sc 0.0000 0.0000 0.7500
Sc 0.3333 0.6667 0.0696
Sc 0.3333 0.6667 0.4304
Sc 0.6667 0.3333 0.5696
Sc 0.6667 0.3333 0.9304
Bi 0.3333 0.6667 0.7500
Bi 0.6667 0.3333 0.2500
C 0.0000 0.0000 0.0000
C 0.0000 0.0000 0.5000
```

Results
M_tot   0.387 μB per atom
Energy relative to the elements   0.00 eV per atom
SG   No. 194

=====

Cs3PdAu2I6: relaxed, PBE. Values from VASP.

The structure in Quantum ESPRESSO input format:
```
&SYSTEM
  ibrav = 0, nat = 12, ntyp = 4
/
ATOMIC_SPECIES
Cs 132.91 Cs.upf
Pd 106.42 Pd.upf
Au 196.97 Au.upf
I 126.90 I.upf
CELL_PARAMETERS angstrom
8.6665 0.0000 0.0000
-4.3332 7.5054 0.0000
0.0000 0.0000 9.7961
ATOMIC_POSITIONS crystal
Cs 0.0000 0.0000 0.0000
Cs 0.3333 0.6667 0.6557
Cs 0.6667 0.3333 0.3443
Pd 0.0000 0.0000 0.5000
Au 0.3333 0.6667 0.2903
Au 0.6667 0.3333 0.7097
I 0.1520 0.3040 0.3145
I 0.1520 0.8480 0.3145
I 0.3040 0.1520 0.6855
I 0.6960 0.8480 0.3145
I 0.8480 0.1520 0.6855
I 0.8480 0.6960 0.6855
```

Results
Formation energy from raw total energies   -0.697 eV/atom
M_tot   0.000 μB per atom
SG   No. 164